This record from Alexandria describes a relaxed structure of MoAu2. The functional is PBE-GGA.

It has space group Cmcm (No. 63), with a = 2.8116 Å, b = 15.1690 Å, c = 4.7984 Å, α = 90.00°, β = 90.00° and γ = 90.00°. The distinct sites, in fractional coordinates, are Mo at (0.0000, 0.1123, 0.2500), Au at (0.0000, 0.2213, 0.7500) and Au at (0.0000, 0.4476, 0.2500).

Its energy of formation from the pure elements is 0.36 eV per atom. Its total energy is -5.44 eV/atom.